NaFe3Sb: relaxed, PBE.

Computed properties:
- density (Mg/m³) = 4.45
- formation energy without anion corrections (eV/atom) = 1.0559
- offset from the most stable computed form (eV per formula unit) = 0.00

abc: 4.885 4.885 4.885
angles: 90.00 90.00 90.00
Space group Pm-3m (No. 221)
Symmetry-distinct sites (fractional):
1 Na 0.000 0.000 0.000
2 Fe 0.000 0.500 0.500
3 Sb 0.500 0.500 0.500